[1]
6
Lattice="3.733 0.000 0.000 0.000 3.733 0.000 0.000 0.000 6.769" Properties=species:S:1:pos:R:3 comment="YSF | Alexandria | PBEsol | optimized geometry" formation_energy_uncorrected_ev_per_atom=-3.09 magmom_total_mub_per_fu=0.000 pbc="T T T"
F 1.867 1.867 0.000
F 0.000 0.000 0.000
Y 0.000 1.867 1.538
Y 1.867 0.000 5.231
S 1.867 0.000 2.418
S 0.000 1.867 4.351


[2]
12
Lattice="4.007 0.000 0.000 -2.004 3.470 0.000 0.000 0.000 16.621" Properties=species:S:1:pos:R:3 comment="YSF | Alexandria | PBEsol | optimized geometry" formation_energy_uncorrected_ev_per_atom=-3.01 magmom_total_mub_per_fu=0.000 pbc="T T T"
Y 0.000 0.000 0.000
Y 0.000 0.000 8.311
Y 2.004 1.157 12.466
Y 0.000 2.314 4.155
F 0.000 2.314 12.466
F 0.000 0.000 4.155
F 2.004 1.157 4.155
F 0.000 0.000 12.466
S 0.000 2.314 1.427
S 0.000 2.314 6.883
S 2.004 1.157 15.194
S 2.004 1.157 9.738


[3]
5
Lattice="4.338 0.000 0.000 0.000 4.338 0.000 0.000 0.000 4.338" Properties=species:S:1:pos:R:3 comment="YSF3 | Alexandria | PBEsol | optimized geometry" de_polymorph_mev_per_atom=1589 formation_energy_uncorrected_ev_per_atom=-1.05 magmom_total_mub_per_fu=0.000 pbc="T T T"
S 0.000 0.000 0.000
F 0.000 2.169 0.000
F 0.000 0.000 2.169
F 2.169 0.000 0.000
Y 2.169 2.169 2.169


[4]
5
Lattice="-0.332 -4.514 -0.221 2.738 -0.025 -3.611 3.595 -0.398 2.729" Properties=species:S:1:pos:R:3 comment="ZnS3F | Alexandria | PBEsol | optimized geometry" formation_energy_uncorrected_ev_per_atom=0.62 magmom_total_mub_per_fu=0.001 pbc="T T T"
S 1.798 -0.199 1.364
S -0.166 -2.257 -0.110
S 1.369 -0.012 -1.805
Zn 0.000 0.000 0.000
F 3.001 -2.468 -0.551